VASP calculation (PBEsol) on a relaxed Al3Au5 crystal.

Calculated values
distance to the lowest polymorph of the same formula: 13.7 meV per atom
formation energy: -2.38 eV per formula unit
crystal system: orthorhombic
DOS(E_F): 1.74 states/eV/cell

Lattice parameters (Å, degrees): 4.390 5.516 5.516 104.64 90.00 90.00
Positions (direct):
Au 0.000 0.000 0.000
Au 0.000 0.000 0.500
Au 0.000 0.500 0.000
Au 0.500 0.289 0.289
Au 0.500 0.711 0.711
Al 0.000 0.500 0.500
Al 0.500 0.778 0.222
Al 0.500 0.222 0.778